[1]
This record from Alexandria via LeMat-Bulk describes a geometry-optimized Mg3Cu structure. The functional is PBE.

extended XYZ file:
```
4
Lattice="4.980 0.000 0.000 0.000 4.980 0.000 0.000 0.000 4.980" Properties=species:S:1:pos:R:3 pbc="T T T"
Mg 0.000 0.000 2.490
Mg 0.000 2.490 0.000
Mg 2.490 0.000 0.000
Cu 0.000 0.000 0.000
```

The value obtained for the total magnetic moment is 0.0 μB per cell. The formation energy comes out at 274.4 meV/atom. Its space group is Pm-3m (221).

---

[2]
This record from Alexandria via LeMat-Bulk describes a geometry-optimized Mg2Cu3 structure. The functional is PBE.

extended XYZ file:
```
10
Lattice="2.528 -4.226 0.000 2.528 4.226 0.000 0.000 0.000 7.472" Properties=species:S:1:pos:R:3 pbc="T T T"
Mg 2.528 2.880 6.819
Mg 2.528 1.346 3.084
Mg 2.528 -1.346 4.388
Mg 2.528 -2.880 0.652
Cu 0.000 0.000 3.736
Cu 1.264 0.829 5.604
Cu 1.264 -0.829 1.868
Cu 2.528 0.000 0.000
Cu 3.792 0.829 5.604
Cu 3.792 -0.829 1.868
```

The value obtained for the total magnetic moment is 0.0 μB per cell. The formation energy comes out at -71.8 meV/atom. The polymorph energy (0 for the lowest one) comes out at 0.0 meV per atom. Its space group is Cmce (64).

---

[3]
This record from Alexandria via LeMat-Bulk describes a geometry-optimized MgCu4 structure. The functional is PBE.

extended XYZ file:
```
5
Lattice="4.492 0.000 0.000 0.000 4.492 0.000 0.000 0.000 4.492" Properties=species:S:1:pos:R:3 pbc="T T T"
Mg 0.000 0.000 0.000
Cu 0.000 0.000 2.246
Cu 0.000 2.246 0.000
Cu 2.246 0.000 0.000
Cu 2.246 2.246 2.246
```

The value obtained for the total magnetic moment is 0.0 μB per cell. The formation energy comes out at 1121.9 meV/atom. Its space group is Pm-3m (221).

---

[4]
This record from Alexandria via LeMat-Bulk describes a geometry-optimized Mg3Cu structure. The functional is PBE.

extended XYZ file:
```
4
Lattice="-1.647 4.831 2.387 1.647 -4.831 2.387 1.647 4.831 -2.387" Properties=species:S:1:pos:R:3 pbc="T T T"
Mg 0.000 0.000 0.000
Mg 1.647 2.728 -0.003
Mg 0.000 2.102 2.384
Cu 0.000 4.831 0.003
```

The value obtained for the total magnetic moment is 0.0 μB per cell. The formation energy comes out at -17.0 meV/atom. Its space group is Imm2 (44).

---

[5]
This record from Alexandria via LeMat-Bulk describes a geometry-optimized Mg2Cu structure. The functional is PBE.

extended XYZ file:
```
9
Lattice="5.593 0.000 0.000 -2.797 4.844 0.000 0.000 0.000 7.049" Properties=species:S:1:pos:R:3 pbc="T T T"
Mg -0.986 1.707 1.591
Mg -1.811 3.136 5.458
Mg 1.971 0.000 1.591
Mg 0.986 1.707 5.458
Mg 3.622 0.000 5.458
Mg 1.811 3.136 1.591
Cu 0.000 0.000 0.000
Cu 0.000 3.229 3.524
Cu 2.797 1.615 3.524
```

The value obtained for the total magnetic moment is 0.0 μB per cell. The formation energy comes out at 135.1 meV/atom. Its space group is P-31m (162).

---

[6]
This record from Alexandria via LeMat-Bulk describes a geometry-optimized MgCu structure. The functional is PBE.

extended XYZ file:
```
6
Lattice="4.966 -1.551 0.000 4.966 1.551 0.000 -2.243 0.000 6.193" Properties=species:S:1:pos:R:3 pbc="T T T"
Mg 0.000 0.000 0.000
Mg -1.151 0.000 3.453
Mg 6.135 0.000 2.222
Cu 1.552 0.000 4.366
Cu 3.122 0.000 1.181
Cu 4.911 0.000 5.564
```

The value obtained for the total magnetic moment is 0.0 μB per cell. The formation energy comes out at -55.1 meV/atom. Its space group is Cm (8).